The following is a DFT calculation (PBE-GGA) of a geometry-optimized LiScSeO4 structure.

The structure in CIF format:
```
data_LiScSeO4
_symmetry_space_group_name_H-M 'I m m a'
_symmetry_Int_Tables_number 74
_symmetry_space_group_name_Hall '-I 2b 2'
_cell_length_a 6.255
_cell_length_b 6.898
_cell_length_c 7.909
_cell_angle_alpha 90.00
_cell_angle_beta 90.00
_cell_angle_gamma 90.00
loop_
_atom_site_label
_atom_site_type_symbol
_atom_site_fract_x
_atom_site_fract_y
_atom_site_fract_z
_atom_site_occupancy
Li1 Li 0.000 0.000 0.000 1
Sc1 Sc 0.250 0.250 0.250 1
Se1 Se 0.000 0.250 0.664 1
O1 O 0.000 0.051 0.239 1
O2 O 0.219 0.250 0.530 1
```

Results
Uncorrected energy, eV/atom: -6.464
Uncorrected formation energy, eV/atom: -1.955
DOS at the Fermi energy, states/eV/cell: 0.00